1) Below is a relaxed La8TbPr6 crystal, with properties calculated at the GGA-PBE level.

abc: 10.1225 10.1225 8.4907
angles: 53.41 53.41 60.00
Last column: nearest neighbours and their distance in Å.
Element x y z (fractional)
La1 0.9310 0.3527 0.4910  5 Pr 3.49-3.91, 4 La 3.79-3.81, 1 Tb 3.82
La2 0.0690 0.6473 0.5090  5 Pr 3.49-3.91, 4 La 3.79-3.81, 1 Tb 3.82
La3 0.4147 0.4147 0.7560  1 La 3.15, 3 Pr 3.16
La4 0.3527 0.2253 0.4910  5 Pr 3.49-3.91, 4 La 3.79-3.81, 1 Tb 3.82
La5 0.6473 0.7747 0.5090  5 Pr 3.49-3.91, 4 La 3.79-3.81, 1 Tb 3.82
La6 0.5853 0.5853 0.2440  1 La 3.15, 3 Pr 3.16
La7 0.2253 0.9310 0.4910  5 Pr 3.49-3.91, 4 La 3.79-3.81, 1 Tb 3.82
La8 0.7747 0.0690 0.5090  5 Pr 3.49-3.91, 4 La 3.79-3.81, 1 Tb 3.82
Pr1 0.9164 0.7174 0.9757  2 La 3.16-3.49, 1 Tb 3.50, 2 Pr 3.51
Pr2 0.2826 0.6095 0.0243  2 La 3.16-3.49, 1 Tb 3.50, 2 Pr 3.51
Pr3 0.3905 0.9164 0.9757  2 La 3.16-3.49, 1 Tb 3.50, 2 Pr 3.51
Pr4 0.6095 0.0836 0.0243  2 La 3.16-3.49, 1 Tb 3.50, 2 Pr 3.51
Pr5 0.7174 0.3905 0.9757  2 La 3.16-3.49, 1 Tb 3.50, 2 Pr 3.51
Pr6 0.0836 0.2826 0.0243  2 La 3.16-3.49, 1 Tb 3.50, 2 Pr 3.51
Tb1 0.0000 0.0000 0.0000  6 Pr 3.50, 6 La 3.82

---

2) Below is a relaxed La8TbPr6 crystal, with properties calculated at the GGA-PBE level.

abc: 10.0233 10.0233 8.5126
angles: 53.93 53.93 60.00
Last column: nearest neighbours and their distance in Å.
Element x y z (fractional)
La1 0.2348 0.2348 0.2955  6 La 3.49-3.65, 3 Pr 3.89
La2 0.3769 0.0516 0.7065  1 Tb 3.18, 2 La 3.32-3.49, 2 Pr 3.54-3.55
La3 0.7652 0.7652 0.7045  6 La 3.49-3.65, 3 Pr 3.89
La4 0.8650 0.3769 0.7065  1 Tb 3.18, 2 La 3.32-3.49, 2 Pr 3.54-3.55
La5 0.9484 0.1350 0.2935  1 Tb 3.18, 2 La 3.32-3.49, 2 Pr 3.54-3.55
La6 0.1350 0.6231 0.2935  1 Tb 3.18, 2 La 3.32-3.49, 2 Pr 3.54-3.55
La7 0.0516 0.8650 0.7065  1 Tb 3.18, 2 La 3.32-3.49, 2 Pr 3.54-3.55
La8 0.6231 0.9484 0.2935  1 Tb 3.18, 2 La 3.32-3.49, 2 Pr 3.54-3.55
Pr1 0.5693 0.3812 0.2208  7 La 3.54-3.93, 3 Pr 3.74-3.90
Pr2 0.6188 0.1712 0.7792  7 La 3.54-3.93, 3 Pr 3.74-3.90
Pr3 0.3812 0.8288 0.2208  7 La 3.54-3.93, 3 Pr 3.74-3.90
Pr4 0.8288 0.5693 0.2208  7 La 3.54-3.93, 3 Pr 3.74-3.90
Pr5 0.1712 0.4307 0.7792  7 La 3.54-3.93, 3 Pr 3.74-3.90
Pr6 0.4307 0.6188 0.7792  7 La 3.54-3.93, 3 Pr 3.74-3.90
Tb1 0.0000 0.0000 0.0000  6 La 3.18

---

Relative energy table, unit kJ/mol of atoms: 1) 1.5; 2) 0.0

---

1) Below is a relaxed La4TbPr6 crystal, with properties calculated at the GGA-PBE level.

abc: 9.7459 9.7459 9.7459
angles: 60.83 138.05 138.05
Last column: nearest neighbours and their distance in Å.
Element x y z (fractional)
La1 0.6278 0.9941 0.9941  3 Pr 3.45-3.68, 1 Tb 3.54, 1 La 3.67
La2 0.0000 0.0059 0.6337  3 Pr 3.45-3.68, 1 Tb 3.54, 1 La 3.67
La3 0.0000 0.6337 0.0059  3 Pr 3.45-3.68, 1 Tb 3.54, 1 La 3.67
La4 0.3722 0.3663 0.3663  3 Pr 3.45-3.68, 1 Tb 3.54, 1 La 3.67
Pr1 0.6663 0.2186 0.2186  3 Pr 3.24-3.29, 1 La 3.45
Pr2 0.5000 0.5000 0.0000  4 Pr 3.24, 2 Tb 3.49
Pr3 0.0000 0.4478 0.7814  3 Pr 3.24-3.29, 1 La 3.45
Pr4 0.0000 0.7814 0.4478  3 Pr 3.24-3.29, 1 La 3.45
Pr5 0.5000 0.0000 0.5000  4 Pr 3.24, 2 Tb 3.49
Pr6 0.3337 0.5522 0.5522  3 Pr 3.24-3.29, 1 La 3.45
Tb1 0.0000 0.0000 0.0000  8 Pr 3.49-3.81, 4 La 3.54

---

2) Below is a relaxed La4TbPr6 crystal, with properties calculated at the GGA-PBE level.

abc: 6.8562 6.8562 9.8093
angles: 110.46 110.46 90.00
Last column: nearest neighbours and their distance in Å.
Element x y z (fractional)
La1 0.9608 0.9608 0.2424  1 La 3.11, 3 Pr 3.30-3.38
La2 0.2817 0.2817 0.2424  1 La 3.11, 3 Pr 3.30-3.38
La3 0.7183 0.0392 0.7576  1 La 3.11, 3 Pr 3.30-3.38
La4 0.0392 0.7183 0.7576  1 La 3.11, 3 Pr 3.30-3.38
Pr1 0.4970 0.8648 0.3618  3 La 3.38-3.58, 1 Tb 3.56, 1 Pr 3.57
Pr2 0.1352 0.1352 0.6382  3 La 3.38-3.58, 1 Tb 3.56, 1 Pr 3.57
Pr3 0.5030 0.5030 0.6382  3 La 3.38-3.58, 1 Tb 3.56, 1 Pr 3.57
Pr4 0.0000 0.5000 0.0000  4 La 3.30, 2 Tb 3.43
Pr5 0.8648 0.4970 0.3618  3 La 3.38-3.58, 1 Tb 3.56, 1 Pr 3.57
Pr6 0.5000 0.0000 0.0000  4 La 3.30, 2 Tb 3.43
Tb1 0.5000 0.5000 0.0000  8 Pr 3.43-3.56

---

Relative energy table, unit kJ/mol of atoms: 1) 1.8; 2) 0.0

---

1) Below is a relaxed La2Tb9Pr crystal, with properties calculated at the GGA-PBE level.

abc: 5.1013 5.1013 15.3040
angles: 90.00 90.00 90.00
Last column: nearest neighbours and their distance in Å.
Element x y z (fractional)
Tb1 0.5000 0.5000 0.6674  4 La 3.61, 8 Tb 3.61-3.62
Tb2 0.5000 0.0000 0.5000  4 La 3.60, 8 Tb 3.61-3.62
Tb3 0.0000 0.5000 0.8344  8 Tb 3.60-3.61, 2 Pr 3.60, 2 La 3.62
Tb4 0.5000 0.5000 0.3326  4 La 3.61, 8 Tb 3.61-3.62
Tb5 0.5000 0.0000 0.8344  8 Tb 3.60-3.61, 2 Pr 3.60, 2 La 3.62
Tb6 0.5000 0.0000 0.1656  2 Pr 3.60, 8 Tb 3.60-3.61, 2 La 3.62
Tb7 0.0000 0.5000 0.5000  4 La 3.60, 8 Tb 3.61-3.62
Tb8 0.0000 0.5000 0.1656  2 Pr 3.60, 8 Tb 3.60-3.61, 2 La 3.62
Tb9 0.5000 0.5000 0.0000  8 Tb 3.60, 4 Pr 3.61
La1 0.0000 0.0000 0.3339  12 Tb 3.60-3.62
La2 0.0000 0.0000 0.6661  12 Tb 3.60-3.62
Pr1 0.0000 0.0000 0.0000  12 Tb 3.60-3.61

---

2) Below is a relaxed La2Tb9Pr crystal, with properties calculated at the GGA-PBE level.

abc: 3.5195 11.4410 11.4410
angles: 120.00 90.00 90.00
Last column: nearest neighbours and their distance in Å.
Element x y z (fractional)
Tb1 0.5000 0.6536 0.8268  8 Tb 3.43-3.69, 2 La 3.63
Tb2 0.5000 0.1732 0.8268  8 Tb 3.43-3.69, 2 La 3.63
Tb3 0.0000 0.5000 0.0000  2 La 3.30, 10 Tb 3.52-3.69
Tb4 0.0000 0.5000 0.5000  2 La 3.30, 10 Tb 3.52-3.69
Tb5 0.0000 0.0000 0.5000  2 La 3.30, 10 Tb 3.52-3.69
Tb6 0.5000 0.8268 0.6536  8 Tb 3.43-3.69, 2 La 3.63
Tb7 0.5000 0.3464 0.1732  8 Tb 3.43-3.69, 2 La 3.63
Tb8 0.5000 0.8268 0.1732  8 Tb 3.43-3.69, 2 La 3.63
Tb9 0.5000 0.1732 0.3464  8 Tb 3.43-3.69, 2 La 3.63
La1 0.0000 0.6667 0.3333  9 Tb 3.30-3.63, 2 La 3.52
La2 0.0000 0.3333 0.6667  9 Tb 3.30-3.63, 2 La 3.52
Pr1 0.0000 0.0000 0.0000  2 Pr 3.52, 12 Tb 3.86

---

Relative energy table, unit kJ/mol of atoms: 1) 0.0; 2) 4.7

---

1) Below is a relaxed La3Tb4Pr5 crystal, with properties calculated at the GGA-PBE level.

abc: 6.0911 8.8164 9.8639
angles: 106.22 72.02 69.79
Last column: nearest neighbours and their distance in Å.
Element x y z (fractional)
La1 0.4878 0.3069 0.7175  3 Pr 3.09-3.34, 1 Tb 3.32
La2 0.0000 0.5000 0.5000  2 Pr 3.05
La3 0.5122 0.6931 0.2825  3 Pr 3.09-3.34, 1 Tb 3.32
Tb1 0.1603 0.0491 0.6302  3 La 3.32-3.60, 1 Tb 3.68, 2 Pr 3.68
Tb2 0.8397 0.9509 0.3698  3 La 3.32-3.60, 1 Tb 3.68, 2 Pr 3.68
Tb3 0.8573 0.2222 0.0632  2 Tb 3.34-3.68, 4 Pr 3.53-3.73, 1 La 3.53
Tb4 0.1427 0.7778 0.9368  2 Tb 3.34-3.68, 4 Pr 3.53-3.73, 1 La 3.53
Pr1 0.2194 0.4542 0.1069  4 La 3.31-3.62, 3 Tb 3.53-3.66
Pr2 0.7806 0.5458 0.8931  4 La 3.31-3.62, 3 Tb 3.53-3.66
Pr3 0.6238 0.9525 0.7998  2 La 3.34-3.58, 1 Pr 3.49, 2 Tb 3.68
Pr4 0.3762 0.0475 0.2002  2 La 3.34-3.58, 1 Pr 3.49, 2 Tb 3.68
Pr5 0.5000 0.5000 0.5000  4 La 3.05-3.09

---

2) Below is a relaxed La3Tb4Pr5 crystal, with properties calculated at the GGA-PBE level.

abc: 7.3163 11.6174 13.2692
angles: 151.27 56.38 129.18
Last column: nearest neighbours and their distance in Å.
Element x y z (fractional)
Pr1 0.3357 0.6681 0.8328  5 Tb 3.65-3.70, 3 Pr 3.65-3.70, 4 La 3.66-3.70
Pr2 0.2525 0.4981 0.9979  6 Pr 3.62-3.70, 3 Tb 3.67-3.69, 3 La 3.68-3.70
Pr3 0.6643 0.3319 0.1672  5 Tb 3.65-3.70, 3 Pr 3.65-3.70, 4 La 3.66-3.70
Pr4 0.5000 0.0000 0.5000  4 Pr 3.65-3.68, 4 La 3.66-3.68, 4 Tb 3.68-3.69
Pr5 0.7475 0.5019 0.0021  6 Pr 3.62-3.70, 3 Tb 3.67-3.69, 3 La 3.68-3.70
Tb1 0.9172 0.8334 0.6687  4 La 3.62-3.71, 3 Tb 3.64-3.68, 5 Pr 3.65-3.70
Tb2 0.8365 0.6692 0.8337  3 La 3.63-3.67, 4 Tb 3.64-3.68, 5 Pr 3.65-3.69
Tb3 0.1635 0.3308 0.1663  3 La 3.63-3.67, 4 Tb 3.64-3.68, 5 Pr 3.65-3.69
Tb4 0.0828 0.1666 0.3313  4 La 3.62-3.71, 3 Tb 3.64-3.68, 5 Pr 3.65-3.70
La1 0.5885 0.1699 0.3345  6 Tb 3.62-3.70, 5 Pr 3.66-3.70, 1 La 3.69
La2 0.4115 0.8301 0.6655  6 Tb 3.62-3.70, 5 Pr 3.66-3.70, 1 La 3.69
La3 0.0000 0.0000 0.5000  8 Pr 3.66-3.69, 2 La 3.69, 2 Tb 3.71

---

Relative energy table, unit kJ/mol of atoms: 1) 18.5; 2) 0.0